[1]
Mg3In5Se12 | GGA-PBE | relaxed

```
Mg3In5Se12
1.0
-8.146 8.146 8.146
8.146 -8.146 8.146
8.146 8.146 -8.146
Mg In Se
12 20 48
direct
0.125 0.250 0.375 Mg
0.125 0.375 0.750 Mg
0.250 0.375 0.125 Mg
0.250 0.875 0.625 Mg
0.375 0.125 0.250 Mg
0.375 0.750 0.125 Mg
0.625 0.250 0.875 Mg
0.625 0.875 0.750 Mg
0.750 0.125 0.375 Mg
0.750 0.625 0.875 Mg
0.875 0.625 0.250 Mg
0.875 0.750 0.625 Mg
0.000 0.000 0.000 In
0.000 0.000 0.500 In
0.000 0.500 0.000 In
0.000 0.500 0.500 In
0.125 0.750 0.875 In
0.125 0.875 0.250 In
0.250 0.125 0.875 In
0.250 0.625 0.375 In
0.375 0.250 0.625 In
0.375 0.625 0.750 In
0.500 0.000 0.000 In
0.500 0.000 0.500 In
0.500 0.500 0.000 In
0.500 0.500 0.500 In
0.625 0.375 0.250 In
0.625 0.750 0.375 In
0.750 0.375 0.625 In
0.750 0.875 0.125 In
0.875 0.125 0.750 In
0.875 0.250 0.125 In
0.052 0.224 0.136 Se
0.052 0.328 0.915 Se
0.085 0.636 0.412 Se
0.085 0.948 0.672 Se
0.088 0.724 0.672 Se
0.088 0.864 0.415 Se
0.136 0.052 0.224 Se
0.136 0.585 0.912 Se
0.172 0.224 0.588 Se
0.172 0.448 0.585 Se
0.224 0.136 0.052 Se
0.224 0.588 0.172 Se
0.276 0.328 0.912 Se
0.276 0.448 0.364 Se
0.328 0.912 0.276 Se
0.328 0.915 0.052 Se
0.364 0.276 0.448 Se
0.364 0.588 0.915 Se
0.412 0.085 0.636 Se
0.412 0.828 0.776 Se
0.415 0.088 0.864 Se
0.415 0.828 0.552 Se
0.448 0.364 0.276 Se
0.448 0.585 0.172 Se
0.552 0.415 0.828 Se
0.552 0.636 0.724 Se
0.585 0.172 0.448 Se
0.585 0.912 0.136 Se
0.588 0.172 0.224 Se
0.588 0.915 0.364 Se
0.636 0.412 0.085 Se
0.636 0.724 0.552 Se
0.672 0.085 0.948 Se
0.672 0.088 0.724 Se
0.724 0.552 0.636 Se
0.724 0.672 0.088 Se
0.776 0.412 0.828 Se
0.776 0.864 0.948 Se
0.828 0.552 0.415 Se
0.828 0.776 0.412 Se
0.864 0.415 0.088 Se
0.864 0.948 0.776 Se
0.912 0.136 0.585 Se
0.912 0.276 0.328 Se
0.915 0.052 0.328 Se
0.915 0.364 0.588 Se
0.948 0.672 0.085 Se
0.948 0.776 0.864 Se
```

Properties
N(E_F) (states/eV/f.u.): 10.50
Formation energy from raw total energies (eV/atom): -0.471
Symmetry: Ia-3d
V (Å³/atom): 27.027



[2]
Ni2H9Pd14 | GGA-PBE | relaxed

```
Ni2H9Pd14
1.0
7.388 0.000 0.000
-3.694 6.398 0.000
0.000 0.000 5.896
Ni H Pd
2 9 14
direct
0.333 0.667 0.165 Ni
0.667 0.333 0.835 Ni
0.000 0.000 0.000 H
0.127 0.469 0.343 H
0.333 0.667 0.885 H
0.342 0.873 0.343 H
0.469 0.342 0.657 H
0.531 0.658 0.343 H
0.658 0.127 0.657 H
0.667 0.333 0.115 H
0.873 0.531 0.657 H
0.000 0.000 0.272 Pd
0.000 0.000 0.728 Pd
0.048 0.683 0.391 Pd
0.075 0.690 0.883 Pd
0.310 0.385 0.883 Pd
0.317 0.364 0.391 Pd
0.364 0.048 0.609 Pd
0.385 0.075 0.117 Pd
0.615 0.925 0.883 Pd
0.636 0.952 0.391 Pd
0.683 0.636 0.609 Pd
0.690 0.615 0.117 Pd
0.925 0.310 0.117 Pd
0.952 0.317 0.609 Pd
```

Properties
N(E_F) (states/eV/f.u.): 24.29
Symmetry: P-3
V (Å³/atom): 11.149
E_tot (hartree per atom): -0.16676



[3]
Tl3GeSb2Au6 | GGA-PBE | relaxed

```
Tl3GeSb2Au6
1.0
6.609 0.000 0.000
-3.304 5.723 0.000
0.000 0.000 9.148
Tl Ge Sb Au
3 1 2 6
direct
0.000 0.000 0.000 Tl
0.333 0.667 0.578 Tl
0.667 0.333 0.422 Tl
0.000 0.000 0.500 Ge
0.333 0.667 0.113 Sb
0.667 0.333 0.887 Sb
0.151 0.302 0.291 Au
0.151 0.849 0.291 Au
0.302 0.151 0.709 Au
0.698 0.849 0.291 Au
0.849 0.151 0.709 Au
0.849 0.698 0.709 Au
```

Properties
N(E_F) (states/eV/f.u.): 2.05
Formation energy from raw total energies (eV/atom): 0.006
Symmetry: P-3m1
V (Å³/atom): 28.832



[4]
VSiS | GGA-PBE | relaxed

```
VSiS
1.0
4.587 0.000 0.000
0.000 1.558 6.151
0.000 -1.558 6.151
V Si S
2 2 2
direct
0.000 0.000 0.000 V
0.500 0.400 0.400 V
0.500 0.063 0.063 Si
0.500 0.726 0.726 Si
0.000 0.362 0.362 S
0.000 0.647 0.647 S
```

Properties
N(E_F) (states/eV/f.u.): 1.52
Formation energy from raw total energies (eV/atom): -0.378
Symmetry: Amm2
V (Å³/atom): 14.651



[5]
Cs6KAu5 | GGA-PBE | relaxed

```
Cs6KAu5
1.0
4.946 -6.914 0.000
4.946 6.914 0.000
-2.281 0.000 8.740
Cs K Au
6 1 5
direct
0.012 0.398 0.712 Cs
0.190 0.190 0.230 Cs
0.398 0.012 0.712 Cs
0.602 0.988 0.288 Cs
0.810 0.810 0.770 Cs
0.988 0.602 0.288 Cs
0.500 0.500 0.000 K
0.000 0.000 0.500 Au
0.211 0.789 0.000 Au
0.394 0.606 0.500 Au
0.606 0.394 0.500 Au
0.789 0.211 0.000 Au
```

Properties
N(E_F) (states/eV/f.u.): 5.45
Symmetry: C2/m
V (Å³/atom): 49.808
E_tot (hartree per atom): -0.07753



[6]
K2MgW | GGA-PBE | relaxed

```
K2MgW
1.0
-2.841 2.841 4.041
2.841 -2.841 4.041
2.841 2.841 -4.041
K Mg W
2 1 1
direct
0.000 0.000 0.000 K
0.750 0.250 0.500 K
0.250 0.750 0.500 Mg
0.500 0.500 0.000 W
```

Properties
N(E_F) (states/eV/f.u.): 2.61
Symmetry: I-4m2
V (Å³/atom): 32.611
E_tot (hartree per atom): -0.10059



[7]
CaScMo2 | GGA-PBE | relaxed

```
CaScMo2
1.0
2.817 0.000 0.000
0.000 2.817 0.000
0.000 0.000 9.838
Ca Sc Mo
1 1 2
direct
0.000 0.000 0.000 Ca
0.000 0.000 0.500 Sc
0.500 0.500 0.267 Mo
0.500 0.500 0.733 Mo
```

Properties
N(E_F) (states/eV/f.u.): 3.38
Symmetry: P4/mmm
V (Å³/atom): 19.517
E_tot (hartree per atom): -0.25606



[8]
Sr3LiBe2O6 | GGA-PBE | relaxed

```
Sr3LiBe2O6
1.0
5.557 0.000 0.000
-2.778 4.812 0.000
0.000 0.000 6.362
Sr Li Be O
3 1 2 6
direct
0.000 0.000 0.000 Sr
0.333 0.667 0.657 Sr
0.667 0.333 0.343 Sr
0.000 0.000 0.500 Li
0.333 0.667 0.245 Be
0.667 0.333 0.755 Be
0.177 0.354 0.283 O
0.177 0.823 0.283 O
0.354 0.177 0.717 O
0.646 0.823 0.283 O
0.823 0.177 0.717 O
0.823 0.646 0.717 O
```

Properties
N(E_F) (states/eV/f.u.): 6.95
Formation energy from raw total energies (eV/atom): -2.347
Symmetry: P-3m1
V (Å³/atom): 14.176



[9]
LiNpScO4 | GGA-PBE | relaxed

```
LiNpScO4
1.0
-3.163 3.462 4.582
3.163 -3.462 4.582
3.163 3.462 -4.582
Li Np Sc O
2 2 2 8
direct
0.359 0.109 0.250 Li
0.641 0.891 0.750 Li
0.000 0.500 0.500 Np
0.500 0.500 0.000 Np
0.000 0.000 0.500 Sc
0.000 0.500 0.000 Sc
0.195 0.737 0.459 O
0.222 0.263 0.959 O
0.235 0.255 0.520 O
0.235 0.716 0.980 O
0.765 0.284 0.020 O
0.765 0.745 0.480 O
0.778 0.737 0.041 O
0.805 0.263 0.541 O
```

Properties
N(E_F) (states/eV/f.u.): 7.30
Formation energy from raw total energies (eV/atom): -2.884
Symmetry: Imma
V (Å³/atom): 14.335



[10]
Li4Dy3YTe8 | GGA-PBE | relaxed

```
Li4Dy3YTe8
1.0
4.343 2.507 7.060
-4.343 2.507 7.060
0.000 -5.015 7.060
Li Dy Y Te
4 3 1 8
direct
0.000 0.000 0.000 Li
0.000 0.500 0.500 Li
0.500 0.000 0.500 Li
0.500 0.500 0.000 Li
0.000 0.000 0.500 Dy
0.000 0.500 0.000 Dy
0.500 0.000 0.000 Dy
0.500 0.500 0.500 Y
0.248 0.248 0.748 Te
0.248 0.748 0.248 Te
0.252 0.252 0.252 Te
0.252 0.752 0.752 Te
0.748 0.248 0.248 Te
0.748 0.748 0.748 Te
0.752 0.252 0.752 Te
0.752 0.752 0.252 Te
```

Properties
Formation energy from raw total energies (eV/atom): -1.296
Symmetry: R-3m
V (Å³/atom): 28.831



[11]
Ba3Bi2Sb2Pd4 | GGA-PBE | relaxed

```
Ba3Bi2Sb2Pd4
1.0
4.684 0.000 0.000
-2.342 4.057 0.000
0.000 0.000 17.728
Ba Bi Sb Pd
3 2 2 4
direct
0.000 0.000 0.000 Ba
0.000 0.000 0.268 Ba
0.000 0.000 0.732 Ba
0.333 0.667 0.589 Bi
0.667 0.333 0.411 Bi
0.333 0.667 0.138 Sb
0.667 0.333 0.862 Sb
0.333 0.667 0.438 Pd
0.333 0.667 0.862 Pd
0.667 0.333 0.138 Pd
0.667 0.333 0.562 Pd
```

Properties
N(E_F) (states/eV/f.u.): 6.57
Formation energy from raw total energies (eV/atom): -0.693
Symmetry: P-3m1
V (Å³/atom): 30.627



[12]
Cs2SnGe2O6 | GGA-PBE | relaxed

```
Cs2SnGe2O6
1.0
2.981 1.721 6.009
-2.981 1.721 6.009
0.000 -3.442 6.009
Cs Sn Ge O
2 1 2 6
direct
0.220 0.220 0.220 Cs
0.780 0.780 0.780 Cs
0.000 0.000 0.000 Sn
0.429 0.429 0.429 Ge
0.571 0.571 0.571 Ge
0.235 0.235 0.736 O
0.235 0.736 0.235 O
0.264 0.765 0.765 O
0.736 0.235 0.235 O
0.765 0.264 0.765 O
0.765 0.765 0.264 O
```

Properties
N(E_F) (states/eV/f.u.): 0.17
Formation energy from raw total energies (eV/atom): -1.546
Symmetry: R-3m
V (Å³/atom): 16.812



Number 1 is which compound? Mg3In5Se12



V of number 8 (Sr3LiBe2O6)? 14.176 Å³/atom



Number 3 is which compound? Tl3GeSb2Au6